DFT (GGA-PBE) results for crystalline LaTa2GaIr at its relaxed geometry.

abc: 5.0553 4.8431 5.0553
angles: 90.00 90.00 90.00
Last column: nearest neighbours and their distance in Å.
Fractional coordinates of all 5 atoms:
Ir 0.0000 0.5000 0.0000  2 La 2.42
La 0.0000 0.0000 0.0000  2 Ir 2.42, 4 Ta 2.53
Ga 0.5000 0.5000 0.5000  8 Ta 3.50, 4 Ir 3.57
Ta 0.0000 0.0000 0.5000  2 La 2.53
Ta 0.5000 0.0000 0.0000  2 La 2.53

Properties
**V**: 24.754 Å³ per atom
**Energy of formation from the pure elements**: 2.169 eV per atom
**Magnetic moment**: 0.00 μB per formula unit